Entry w
AgPd3O6 | PBE | relaxed

a b c (Å): 5.376 5.376 5.757
angles (deg): 62.17 62.17 60.00
Atoms (fractional coordinates):
O 0.949 0.527 0.239
O 0.745 0.058 0.769
O 0.286 0.949 0.239
O 0.527 0.286 0.239
O 0.058 0.429 0.769
O 0.429 0.745 0.769
Pd 0.656 0.656 0.031
Pd 0.344 0.344 0.969
Pd 0.146 0.146 0.562
Ag 0.861 0.861 0.416

## Properties
SG: R3
Crystal system: trigonal

***

Entry x
AgPd3O6 | PBE | relaxed

a b c (Å): 3.162 6.339 6.339
angles (deg): 109.04 90.00 90.00
Atoms (fractional coordinates):
O 0.000 0.669 0.926
O 0.000 0.926 0.669
O 0.000 0.331 0.074
O 0.000 0.074 0.331
O 0.500 0.342 0.658
O 0.500 0.658 0.342
Pd 0.000 0.000 0.000
Pd 0.500 0.500 0.000
Pd 0.500 0.000 0.500
Ag 0.000 0.500 0.500

## Properties
SG: Cmmm
Crystal system: orthorhombic

***

Energies relative to the most stable structure are entry w 129; entry x 0, reported in meV/atom.

***

Entry w
AgPd4O8 | PBE | relaxed

a b c (Å): 6.261 6.261 6.681
angles (deg): 115.18 92.16 120.38
Atoms (fractional coordinates):
Ag 0.000 0.500 0.500
Pd 0.751 0.751 0.000
Pd 0.256 0.760 0.016
Pd 0.744 0.240 0.984
Pd 0.249 0.249 0.000
O 0.340 0.957 0.816
O 0.855 0.970 0.825
O 0.145 0.030 0.175
O 0.660 0.043 0.184
O 0.647 0.517 0.164
O 0.353 0.483 0.836
O 0.859 0.475 0.816
O 0.141 0.525 0.184

## Properties
SG: C2/m
Crystal system: monoclinic

***

Entry x
AgPd4O8 | PBE | relaxed

a b c (Å): 6.229 6.229 6.696
angles (deg): 62.28 62.28 60.00
Atoms (fractional coordinates):
O 0.725 0.725 0.824
O 0.287 0.765 0.184
O 0.235 0.235 0.816
O 0.765 0.287 0.184
O 0.765 0.765 0.184
O 0.713 0.235 0.816
O 0.275 0.275 0.176
O 0.235 0.713 0.816
Ag 0.500 0.500 0.500
Pd 0.500 0.500 0.000
Pd 0.000 0.500 0.000
Pd 0.000 0.000 0.000
Pd 0.500 0.000 0.000

## Properties
SG: R-3m
Crystal system: trigonal

***

Energies relative to the most stable structure are entry w 6; entry x 0, reported in meV/atom.

***

Entry w
Pr3AgO | PBE | relaxed

a b c (Å): 4.995 4.995 4.995
angles (deg): 90.00 90.00 90.00
Atoms (fractional coordinates):
Pr 0.000 0.500 0.000
Pr 0.000 0.000 0.500
Pr 0.500 0.000 0.000
O 0.000 0.000 0.000
Ag 0.500 0.500 0.500

## Properties
SG: Pm-3m
Crystal system: cubic

***

Entry x
Pr3AgO | PBE | relaxed

a b c (Å): 6.501 8.981 9.999
angles (deg): 120.12 90.00 90.00
Atoms (fractional coordinates):
Pr 0.909 0.143 0.952
Pr 0.091 0.857 0.048
Pr 0.410 0.209 0.146
Pr 0.090 0.709 0.646
Pr 0.609 0.910 0.265
Pr 0.409 0.357 0.548
Pr 0.910 0.291 0.354
Pr 0.591 0.643 0.452
Pr 0.590 0.791 0.854
Pr 0.891 0.410 0.765
Pr 0.391 0.090 0.735
Pr 0.109 0.590 0.235
O 0.247 0.467 0.390
O 0.753 0.533 0.610
O 0.747 0.033 0.110
O 0.253 0.967 0.890
Ag 0.843 0.994 0.591
Ag 0.343 0.506 0.909
Ag 0.657 0.494 0.091
Ag 0.157 0.006 0.409

## Properties
SG: P2_1/c
Crystal system: monoclinic

***

Energies relative to the most stable structure are entry w 0; entry x 70, reported in meV/atom.

***

Entry w
Ag3PtO | PBE | relaxed

a b c (Å): 5.115 5.115 5.115
angles (deg): 90.00 90.00 90.00
Atoms (fractional coordinates):
Ag 0.000 0.000 0.500
Ag 0.500 0.000 0.000
Ag 0.000 0.500 0.000
O 0.500 0.500 0.500
Pt 0.000 0.000 0.000

## Properties
SG: Pm-3m
Crystal system: cubic

***

Entry x
Ag3PtO | PBE | relaxed

a b c (Å): 4.374 4.374 4.374
angles (deg): 90.00 90.00 90.00
Atoms (fractional coordinates):
O 0.000 0.000 0.000
Ag 0.500 0.000 0.000
Ag 0.000 0.500 0.000
Ag 0.000 0.000 0.500
Pt 0.500 0.500 0.500

## Properties
SG: Pm-3m
Crystal system: cubic

***

Energies relative to the most stable structure are entry w 989; entry x 0, reported in meV/atom.